# Tl2CrAuF PBE+U optimized geometry
# * total DFT energy (no corrections): -3.905 eV per atom
# * M_tot: 4.46 μB/cell
data_Tl2CrAuF
_chemical_formula_sum 'Tl2 Cr1 Au1 F1'
_cell_length_a 5.4616
_cell_length_b 5.4616
_cell_length_c 4.0161
_cell_angle_alpha 90.00
_cell_angle_beta 90.00
_cell_angle_gamma 90.00
_symmetry_space_group_name_H-M 'P 4/m m m'
_symmetry_Int_Tables_number 123
_symmetry_space_group_name_Hall '-P 4 2'
loop_
_atom_site_label
_atom_site_type_symbol
_atom_site_fract_x
_atom_site_fract_y
_atom_site_fract_z
Tl1 Tl 0.0000 0.5000 0.0000
Cr1 Cr 0.0000 0.0000 0.5000
Au1 Au 0.5000 0.5000 0.5000
F1 F 0.0000 0.0000 0.0000